# 1
## LiTbTl4 (PBE-GGA)

Data for a geometry-optimized LiTbTl4 structure.

Geometry as extended XYZ:
```
6
Lattice="3.7915 0.0000 0.0000 0.0000 5.3754 0.0000 -0.0091 0.0000 8.2909" Properties=species:S:1:pos:R:3 pbc="T T T"
Li 0.0000 0.0000 0.0000
Tb 1.8847 2.6877 4.1451
Tl 1.8819 0.0000 5.8924
Tl 1.8989 0.0000 2.3976
Tl 3.7834 2.6877 1.5123
Tl 3.7805 2.6877 6.7781
```

Summary:
The energy of formation from the pure elements is -57 meV per atom. Its space group is No. 6. The calculation puts the total energy at -16.35 eV per formula unit.

***

# 2
## BaSF (PBE-GGA)

Data for a geometry-optimized BaSF structure.

Geometry as extended XYZ:
```
6
Lattice="3.0899 -3.1321 0.0000 3.0899 3.1321 0.0000 -1.7330 0.0000 7.3138" Properties=species:S:1:pos:R:3 pbc="T T T"
Ba 0.7480 0.0000 2.1080
Ba 3.6988 0.0000 5.2058
S 0.7280 0.0000 6.4666
S 3.7188 0.0000 0.8472
F 2.2234 1.6148 3.6569
F 2.2234 -1.6148 3.6569
```

Summary:
The energy relative to the elements, uncorrected is -2.637 eV/atom. Its space group is No. 12. The calculation puts the total energy at -15.83 eV per formula unit.

***

# 3
## HfSiHg2 (PBE-GGA)

Data for a geometry-optimized HfSiHg2 structure.

Geometry as extended XYZ:
```
8
Lattice="-3.8876 3.8876 2.7931 3.8876 -3.8876 2.7931 3.8876 3.8876 -2.7931" Properties=species:S:1:pos:R:3 pbc="T T T"
Hf 0.0000 0.0000 0.0000
Hf 0.0000 3.8876 1.3965
Si 3.8876 0.0000 1.3965
Si 0.0000 0.0000 2.7931
Hg 1.9438 -1.7032 2.0948
Hg 2.1844 1.9438 0.6983
Hg 1.9438 5.5908 -0.6983
Hg 1.7032 1.9438 3.4913
```

Summary:
The energy relative to the elements, uncorrected is 0.195 eV/atom. Its space group is No. 122. The calculation puts the total energy at -15.20 eV per formula unit.

***

# 4
## Pr6Nd2Tm3 (PBE-GGA)

Data for a geometry-optimized Pr6Nd2Tm3 structure.

Geometry as extended XYZ:
```
11
Lattice="-2.8883 2.8883 12.3537 2.8883 -2.8883 12.3537 2.8883 2.8883 -12.3537" Properties=species:S:1:pos:R:3 pbc="T T T"
Pr 2.8883 0.0000 2.3935
Pr 0.0000 0.0000 4.9901
Pr 2.8883 0.0000 9.9602
Pr 0.0000 2.8883 2.3935
Pr 0.0000 0.0000 19.7173
Pr 0.0000 2.8883 9.9602
Nd 0.0000 0.0000 1.4576
Nd 0.0000 0.0000 23.2498
Tm 0.0000 0.0000 8.3765
Tm 0.0000 0.0000 12.3537
Tm 0.0000 0.0000 16.3309
```

Summary:
The energy of formation from the pure elements is 478 meV per atom. Its space group is No. 139. The calculation puts the total energy at -46.37 eV per formula unit.

***

# 5
## PmTm3Ni8 (PBE-GGA)

Data for a geometry-optimized PmTm3Ni8 structure.

Geometry as extended XYZ:
```
12
Lattice="2.5243 1.4574 8.2720 -2.5243 1.4574 8.2720 0.0000 -2.9148 8.2720" Properties=species:S:1:pos:R:3 pbc="T T T"
Pm 0.0000 0.0000 0.0000
Tm 0.0000 0.0000 3.1144
Tm 0.0000 0.0000 12.3974
Tm 0.0000 0.0000 15.4778
Ni 0.0000 -1.4445 5.6528
Ni -1.2510 0.7223 5.6528
Ni -1.2600 -0.7275 9.8520
Ni 0.0000 0.0000 7.7412
Ni 1.2510 0.7223 5.6528
Ni 1.2600 -0.7275 9.8520
Ni 0.0000 1.4549 9.8520
Ni 0.0000 0.0000 20.1591
```

Summary:
The energy of formation from the pure elements is -457 meV per atom. Its space group is No. 160. The calculation puts the total energy at -69.90 eV per formula unit.

***

# 6
## GdLuTlTc (PBE-GGA)

Data for a geometry-optimized GdLuTlTc structure.

Geometry as extended XYZ:
```
4
Lattice="0.0000 3.5826 3.5826 3.5826 0.0000 3.5826 3.5826 3.5826 0.0000" Properties=species:S:1:pos:R:3 pbc="T T T"
Gd 0.0000 0.0000 0.0000
Lu 3.5826 3.5826 3.5826
Tl 5.3739 5.3739 5.3739
Tc 1.7913 1.7913 1.7913
```

Summary:
The energy of formation from the pure elements is -53 meV per atom. Its space group is No. 216. The calculation puts the total energy at -31.55 eV per formula unit.

***

# 7
## Ba2Na2Zn (PBE-GGA)

Data for a geometry-optimized Ba2Na2Zn structure.

Geometry as extended XYZ:
```
10
Lattice="9.0270 0.0000 0.0000 0.0000 9.0270 0.0000 0.0000 0.0000 6.0423" Properties=species:S:1:pos:R:3 pbc="T T T"
Ba 1.4972 3.0163 0.0000
Ba 3.0163 7.5298 0.0000
Ba 6.0107 1.4972 0.0000
Ba 7.5298 6.0107 0.0000
Na 1.2839 5.7974 3.0212
Na 3.2296 1.2839 3.0212
Na 5.7974 7.7431 3.0212
Na 7.7431 3.2296 3.0212
Zn 0.0000 0.0000 0.0000
Zn 4.5135 4.5135 0.0000
```

Summary:
The energy of formation from the pure elements is 142 meV per atom. Its space group is No. 127. The calculation puts the total energy at -7.05 eV per formula unit.

***

# 8
## AsAuSe2O (PBE-GGA)

Data for a geometry-optimized AsAuSe2O structure.

Geometry as extended XYZ:
```
5
Lattice="4.5594 0.0000 0.0000 0.0000 4.5594 0.0000 0.0000 0.0000 4.3851" Properties=species:S:1:pos:R:3 pbc="T T T"
As 0.0000 0.0000 0.0000
Au 2.2797 2.2797 0.0000
Se 0.0000 2.2797 2.1926
Se 2.2797 0.0000 2.1926
O 0.0000 0.0000 2.1926
```

Summary:
The energy relative to the elements, uncorrected is 0.573 eV/atom. Its space group is No. 123. The calculation puts the total energy at -16.99 eV per formula unit.

***

# 9
## ZrMoIr3 (PBE-GGA)

Data for a geometry-optimized ZrMoIr3 structure.

Geometry as extended XYZ:
```
5
Lattice="4.7017 0.0000 0.0000 0.0000 4.7017 0.0000 0.0000 0.0000 4.7017" Properties=species:S:1:pos:R:3 pbc="T T T"
Zr 0.0000 0.0000 0.0000
Mo 2.3508 2.3508 2.3508
Ir 0.0000 2.3508 2.3508
Ir 2.3508 0.0000 2.3508
Ir 2.3508 2.3508 0.0000
```

Summary:
The energy of formation from the pure elements is 995 meV per atom. Its space group is No. 221. The calculation puts the total energy at -40.99 eV per formula unit.

***

# 10
## Pm2Cu2Hg (PBE-GGA)

Data for a geometry-optimized Pm2Cu2Hg structure.

Geometry as extended XYZ:
```
10
Lattice="7.6360 0.0000 0.0000 0.0000 7.6360 0.0000 0.0000 0.0000 3.8646" Properties=species:S:1:pos:R:3 pbc="T T T"
Pm 1.3495 2.4685 0.0000
Pm 2.4685 6.2865 0.0000
Pm 5.1675 1.3495 0.0000
Pm 6.2865 5.1675 0.0000
Cu 0.8958 4.7138 1.9323
Cu 2.9222 0.8958 1.9323
Cu 4.7138 6.7402 1.9323
Cu 6.7402 2.9222 1.9323
Hg 0.0000 0.0000 1.9323
Hg 3.8180 3.8180 1.9323
```

Summary:
The energy of formation from the pure elements is -306 meV per atom. Its space group is No. 127. The calculation puts the total energy at -19.53 eV per formula unit.

***

# 11
## SiNi2B2 (PBE-GGA)

Data for a geometry-optimized SiNi2B2 structure.

Geometry as extended XYZ:
```
10
Lattice="6.2604 0.0000 0.0000 0.0000 6.2604 0.0000 0.0000 0.0000 2.3802" Properties=species:S:1:pos:R:3 pbc="T T T"
Si 0.0000 0.0000 0.0000
Si 3.1302 3.1302 0.0000
Ni 0.8657 2.2645 0.0000
Ni 2.2645 5.3947 0.0000
Ni 3.9959 0.8657 0.0000
Ni 5.3947 3.9959 0.0000
B 0.9910 4.1212 1.1901
B 2.1392 0.9910 1.1901
B 4.1212 5.2694 1.1901
B 5.2694 2.1392 1.1901
```

Summary:
The energy relative to the elements, uncorrected is 0.290 eV/atom. Its space group is No. 127. The calculation puts the total energy at -28.89 eV per formula unit.

***

# 12
## Ta2CSe2 (PBE-GGA)

Data for a geometry-optimized Ta2CSe2 structure.

Geometry as extended XYZ:
```
5
Lattice="2.8891 -1.6680 0.0000 2.8891 1.6680 0.0000 -2.1900 0.0000 10.3061" Properties=species:S:1:pos:R:3 pbc="T T T"
Ta 0.9630 0.0000 1.1544
Ta 2.6253 0.0000 9.1517
C 2.8891 0.0000 0.0000
Se -1.2268 0.0000 7.3528
Se 4.8151 0.0000 2.9533
```

Summary:
The energy relative to the elements, uncorrected is -0.801 eV/atom. Its space group is No. 12. The calculation puts the total energy at -43.90 eV per formula unit.

***

# 13
## MgGaW3 (PBE-GGA)

Data for a geometry-optimized MgGaW3 structure.

Geometry as extended XYZ:
```
5
Lattice="4.5725 0.0000 0.0000 0.0000 4.5725 0.0000 0.0000 0.0000 4.5725" Properties=species:S:1:pos:R:3 pbc="T T T"
Mg 0.0000 0.0000 0.0000
Ga 2.2863 2.2863 2.2863
W 0.0000 0.0000 2.2863
W 0.0000 2.2863 0.0000
W 2.2863 0.0000 0.0000
```

Summary:
The energy of formation from the pure elements is 2486 meV per atom. Its space group is No. 221. The calculation puts the total energy at -31.05 eV per formula unit.

***

# 14
## TbCe2SmSb4 (PBE-GGA)

Data for a geometry-optimized TbCe2SmSb4 structure.

Geometry as extended XYZ:
```
8
Lattice="7.7355 0.0000 0.0000 0.0000 4.4639 0.0000 -2.5762 0.0000 7.3030" Properties=species:S:1:pos:R:3 pbc="T T T"
Tb 0.0000 0.0000 0.0000
Ce -1.2881 2.2319 3.6515
Ce 2.5796 0.0000 3.6515
Sm 3.8677 2.2319 0.0000
Sb 1.2736 2.2319 1.8011
Sb -0.0143 0.0000 5.4907
Sb 5.1736 0.0000 1.8123
Sb 3.8856 2.2319 5.5019
```

Summary:
The energy relative to the elements, uncorrected is -1.105 eV/atom. Its space group is No. 10. The calculation puts the total energy at -46.55 eV per formula unit.

***

# 15
## YHg2Sb (PBE-GGA)

Data for a geometry-optimized YHg2Sb structure.

Geometry as extended XYZ:
```
4
Lattice="1.7812 1.0284 9.7919 -1.7812 1.0284 9.7919 0.0000 -2.0567 9.7919" Properties=species:S:1:pos:R:3 pbc="T T T"
Y 0.0000 0.0000 0.0000
Hg 0.0000 0.0000 7.3881
Hg 0.0000 0.0000 21.9875
Sb 0.0000 0.0000 14.6878
```

Summary:
The energy relative to the elements, uncorrected is -0.123 eV/atom. Its space group is No. 166. The calculation puts the total energy at -11.68 eV per formula unit.

***

# 16
## CrSnB2N (PBE-GGA)

Data for a geometry-optimized CrSnB2N structure.

Geometry as extended XYZ:
```
5
Lattice="4.2303 0.0000 0.0000 0.0000 4.2303 0.0000 0.0000 0.0000 5.2452" Properties=species:S:1:pos:R:3 pbc="T T T"
Cr 0.0000 0.0000 0.0000
Sn 0.0000 0.0000 2.6226
B 0.0000 2.1151 2.6226
B 2.1151 0.0000 2.6226
N 2.1151 2.1151 0.0000
```

Summary:
The energy relative to the elements, uncorrected is 3.123 eV/atom. Its space group is No. 123. The calculation puts the total energy at -19.69 eV per formula unit.

***

# 17
## La3B2Pt9Au (PBE-GGA)

Data for a geometry-optimized La3B2Pt9Au structure.

Geometry as extended XYZ:
```
15
Lattice="5.8158 0.0000 0.0000 -2.9079 5.0366 0.0000 0.0000 0.0000 9.7315" Properties=species:S:1:pos:R:3 pbc="T T T"
La 0.0000 0.0000 0.0000
La 0.0000 3.3578 6.0022
La 2.9079 1.6789 3.7293
B 0.0000 3.3578 1.4171
B 2.9079 1.6789 8.3145
Pt -1.4539 2.5183 0.0000
Pt 0.0000 1.6718 2.6954
Pt -1.4600 4.2007 2.6954
Pt 1.4479 0.8359 7.0361
Pt 2.9079 0.0000 0.0000
Pt 1.4539 2.5183 0.0000
Pt 1.4600 4.2007 2.6954
Pt 4.3679 0.8359 7.0361
Pt 2.9079 3.3648 7.0361
Au 0.0000 0.0000 4.8658
```

Summary:
The energy of formation from the pure elements is -780 meV per atom. Its space group is No. 164. The calculation puts the total energy at -97.48 eV per formula unit.

***

# 18
## La2Nd5ErTm (PBE-GGA)

Data for a geometry-optimized La2Nd5ErTm structure.

Geometry as extended XYZ:
```
18
Lattice="2.8614 -10.2092 0.0000 2.8614 10.2092 0.0000 0.0000 0.0000 10.8316" Properties=species:S:1:pos:R:3 pbc="T T T"
La 2.8614 7.8852 5.4158
La 2.8614 7.8245 0.8536
La 2.8614 -7.8245 6.2694
La 2.8614 -7.8852 0.0000
Nd 2.8614 9.8986 8.4809
Nd 2.8614 4.5445 0.8329
Nd 2.8614 4.1937 5.0609
Nd 2.8614 2.4132 8.4985
Nd 2.8614 0.3375 5.5054
Nd 2.8614 -0.3375 0.0896
Nd 2.8614 -2.4132 3.0826
Nd 2.8614 -4.1937 10.4767
Nd 2.8614 -4.5445 6.2487
Nd 2.8614 -9.8986 3.0651
Er 2.8614 1.9161 2.4961
Er 2.8614 -1.9161 7.9119
Tm 2.8614 6.1443 8.3893
Tm 2.8614 -6.1443 2.9734
```

Summary:
The energy of formation from the pure elements is 123 meV per atom. Its space group is No. 36. The calculation puts the total energy at -41.62 eV per formula unit.

***

# 19
## MgIn2Ru (PBE-GGA)

Data for a geometry-optimized MgIn2Ru structure.

Geometry as extended XYZ:
```
4
Lattice="3.5688 0.0000 0.0000 0.0000 3.5884 0.0000 0.0000 0.0000 5.9984" Properties=species:S:1:pos:R:3 pbc="T T T"
Mg 0.0000 0.0000 0.0000
In 0.0000 0.0000 2.6962
In 1.7844 1.7942 4.4230
Ru 1.7844 1.7942 1.3465
```

Summary:
The energy of formation from the pure elements is 21 meV per atom. Its space group is No. 25. The calculation puts the total energy at -16.26 eV per formula unit.

***

# 20
## Ce2Ho3Se8 (PBE-GGA)

Data for a geometry-optimized Ce2Ho3Se8 structure.

Geometry as extended XYZ:
```
13
Lattice="4.9905 -7.0673 0.0000 4.9905 7.0673 0.0000 0.0000 0.0000 4.9141" Properties=species:S:1:pos:R:3 pbc="T T T"
Ce 4.9905 3.7268 0.0000
Ce 4.9905 -3.7268 0.0000
Ho 2.2162 0.0000 2.4571
Ho 4.9905 0.0000 0.0000
Ho 7.7649 0.0000 2.4571
Se 4.9905 5.2976 2.4571
Se 2.6011 1.7192 0.0000
Se 2.6011 -1.7192 0.0000
Se 4.9905 1.6622 2.4571
Se 4.9905 -1.6622 2.4571
Se 7.3800 1.7192 0.0000
Se 7.3800 -1.7192 0.0000
Se 4.9905 -5.2976 2.4571
```

Summary:
The energy relative to the elements, uncorrected is -1.649 eV/atom. Its space group is No. 65. The calculation puts the total energy at -74.91 eV per formula unit.

***

# 21
## La2CdRh2 (PBE-GGA)

Data for a geometry-optimized La2CdRh2 structure.

Geometry as extended XYZ:
```
10
Lattice="7.8001 0.0000 0.0000 0.0000 7.8001 0.0000 0.0000 0.0000 3.8896" Properties=species:S:1:pos:R:3 pbc="T T T"
La 1.2911 2.6089 0.0000
La 2.6089 6.5090 0.0000
La 5.1912 1.2911 0.0000
La 6.5090 5.1912 0.0000
Cd 0.0000 0.0000 1.9448
Cd 3.9001 3.9001 1.9448
Rh 1.0789 4.9789 1.9448
Rh 2.8212 1.0789 1.9448
Rh 4.9789 6.7212 1.9448
Rh 6.7212 2.8212 1.9448
```

Summary:
The energy of formation from the pure elements is -658 meV per atom. Its space group is No. 127. The calculation puts the total energy at -28.76 eV per formula unit.

***

# 22
## GdPaAlZn (PBE-GGA)

Data for a geometry-optimized GdPaAlZn structure.

Geometry as extended XYZ:
```
4
Lattice="0.0000 3.5850 3.5850 3.5850 0.0000 3.5850 3.5850 3.5850 0.0000" Properties=species:S:1:pos:R:3 pbc="T T T"
Gd 0.0000 0.0000 0.0000
Pa 3.5850 3.5850 3.5850
Al 1.7925 1.7925 1.7925
Zn 5.3774 5.3774 5.3774
```

Summary:
The energy of formation from the pure elements is -81 meV per atom. Its space group is No. 216. The calculation puts the total energy at -28.92 eV per formula unit.

***

# 23
## AlAsPb (PBE-GGA)

Data for a geometry-optimized AlAsPb structure.

Geometry as extended XYZ:
```
6
Lattice="3.9308 0.0000 0.0000 0.0000 3.9326 0.0000 -0.1711 0.0000 10.5038" Properties=species:S:1:pos:R:3 pbc="T T T"
Al 0.8125 0.9831 10.5035
Al 2.9472 2.9494 0.0003
As 0.8072 2.9494 8.8856
As 2.9526 0.9831 1.6182
Pb 0.8867 2.9494 4.2659
Pb 2.8730 0.9831 6.2379
```

Summary:
The energy of formation from the pure elements is -65 meV per atom. Its space group is No. 11. The calculation puts the total energy at -12.30 eV per formula unit.

***

# 24
## Sr3Ti2RhO9 (PBE-GGA)

Data for a geometry-optimized Sr3Ti2RhO9 structure.

Geometry as extended XYZ:
```
15
Lattice="5.5853 0.0000 0.0000 -2.7926 4.8370 0.0000 0.0000 0.0000 6.8488" Properties=species:S:1:pos:R:3 pbc="T T T"
Sr 0.0000 0.0000 0.0000
Sr 0.0000 3.2247 4.5635
Sr 2.7926 1.6123 2.2852
Ti 0.0000 3.2247 1.1362
Ti 2.7926 1.6123 5.7126
Rh 0.0000 0.0000 3.4244
O -1.3963 2.4185 0.0000
O 0.0000 1.6268 2.2664
O -1.3838 4.0236 2.2664
O 1.4089 0.8134 4.5824
O 2.7926 0.0000 0.0000
O 1.3963 2.4185 0.0000
O 1.3838 4.0236 2.2664
O 4.1764 0.8134 4.5824
O 2.7926 3.2102 4.5824
```

Summary:
The energy relative to the elements, uncorrected is -2.629 eV/atom. Its space group is No. 164. The calculation puts the total energy at -112.25 eV per formula unit.